A plane-wave DFT calculation with PBE was carried out for an optimized crystal structure of PrNiIr.

The calculation puts the formation energy at 160 kJ/mol of formula units. Its total energy is -70.146 eV/cell. The volume comes out at 270.1 Å³ per cell.

Cell and atoms, written as CIF:
```
data_PrNiIr
_chemical_formula_sum 'Pr4 Ni4 Ir4'
_cell_length_a 6.464
_cell_length_b 6.464
_cell_length_c 6.464
_cell_angle_alpha 90.00
_cell_angle_beta 90.00
_cell_angle_gamma 90.00
_space_group_name_H-M_alt 'F -4 3 m'
_space_group_IT_number 216
_space_group_name_Hall 'F -4 2 3'
loop_
_atom_site_label
_atom_site_fract_x
_atom_site_fract_y
_atom_site_fract_z
Pr1 0.000 0.000 0.000
Ni1 0.250 0.250 0.250
Ir1 0.250 0.250 0.750
```

***

A plane-wave DFT calculation with PBE was carried out for an optimized crystal structure of TmLu2In3CuAg2.

Its total energy is -69.561 eV/cell. The volume comes out at 393.8 Å³ per cell.

Cell and atoms, written as CIF:
```
data_TmLu2In3CuAg2
_chemical_formula_sum 'Tm2 Lu4 In6 Cu2 Ag4'
_cell_length_a 3.800
_cell_length_b 13.410
_cell_length_c 7.729
_cell_angle_alpha 90.00
_cell_angle_beta 90.00
_cell_angle_gamma 90.00
_space_group_name_H-M_alt 'A m m 2'
_space_group_IT_number 38
loop_
_space_group_symop_operation_xyz
'x,y,z'
'-x,-y,z'
'-x,y,z'
'x,-y,z'
'x,y+1/2,z+1/2'
'-x,-y+1/2,z+1/2'
'-x,y+1/2,z+1/2'
'x,-y+1/2,z+1/2'
loop_
_atom_site_label
_atom_site_fract_x
_atom_site_fract_y
_atom_site_fract_z
Tm1 0.000 0.000 0.000
Lu1 0.000 0.200 0.599
In1 0.500 0.000 0.654
In2 0.500 0.127 0.273
Cu1 0.000 0.000 0.400
Ag1 0.500 0.168 0.900
```